ZrMnBi2O6 | the Alexandria database | PBE+U | relaxed; total moment = 0.50 μB/atom; total DFT energy (no corrections) = -7.28 eV/atom; mass density = 7.5 Mg/m³
1.0
2.924 1.688 4.940
-2.924 1.688 4.940
0.000 -3.376 4.940
Zr Mn Bi O
1 1 2 6
Cartesian
0.000 0.000 0.000 Zr
0.000 0.000 7.370 Mn
0.000 0.000 3.172 Bi
0.000 0.000 10.616 Bi
-0.604 -1.878 6.480 O
-1.658 -0.330 8.978 O
-1.324 1.462 6.480 O
1.115 -1.270 8.978 O
1.928 0.415 6.480 O
0.543 1.601 8.978 O